{
  "formula": "FeBF3",
  "functional": "PBE with a Hubbard U",
  "state": "optimized geometry",
  "lattice": [[4.0143, 0.0000, 0.0000], [0.0000, 4.0143, 0.0000], [0.0000, 0.0000, 4.0143]],
  "species": ["Fe", "B", "F", "F", "F"],
  "frac_coords": [[0.0000, 0.0000, 0.0000], [0.5000, 0.5000, 0.5000], [0.0000, 0.0000, 0.5000], [0.0000, 0.5000, 0.0000], [0.5000, 0.0000, 0.0000]],
  "total_energy_ev_per_atom": -4.3967,
  "sg": "No. 221",
  "dos_ef_per_ev_atom": 0.811
}